1.
Entry from the Alexandria database: crystalline Cu2H3Rh2 at its relaxed geometry (PBE).

Properties
Total moment = 0.00 μB per cell
DFT total energy = -4.6896 eV per atom
V = 61.00 Å³/cell

a b c (Å): 2.829 4.697 4.935
angles (deg): 103.47 106.44 90.16
Space group P-1 (No. 2)
Symmetry-distinct sites (fractional):
Cu  0.130  0.372  0.260 [2 per cell]
H  0.000  0.000  0.000 [1 per cell]
H  0.226  0.789  0.457 [2 per cell]
Rh  0.383  0.147  0.768 [2 per cell]

***

2.
Entry from the Alexandria database: crystalline Li2GePb at its relaxed geometry (PBE).

Properties
Total moment = 0.00 μB per cell
V = 78.99 Å³/cell
Energy relative to the lowest polymorph listed for this composition = 9 meV per atom

a b c (Å): 4.301 4.301 4.270
angles (deg): 90.00 90.00 90.00
Space group P4/mmm (No. 123)
Symmetry-distinct sites (fractional):
Li  0.000  0.500  0.000 [2 per cell]
Ge  0.000  0.000  0.500 [1 per cell]
Pb  0.500  0.500  0.500 [1 per cell]

***

3.
Entry from the Alexandria database: crystalline HfMg6BiO8 at its relaxed geometry (PBE).

Properties
Total moment = 2.65 μB per cell
V = 190.27 Å³/cell
Energy relative to the lowest polymorph listed for this composition = 62 meV per atom
ΔE_f (raw) = -2009 meV/atom

a b c (Å): 4.572 4.572 9.103
angles (deg): 90.00 90.00 90.00
Space group P4/mmm (No. 123)
Symmetry-distinct sites (fractional):
Hf  0.000  0.000  0.000 [1 per cell]
Mg  0.000  0.000  0.500 [1 per cell]
Mg  0.000  0.500  0.272 [4 per cell]
Mg  0.500  0.500  0.500 [1 per cell]
Bi  0.500  0.500  0.000 [1 per cell]
O  0.000  0.000  0.254 [2 per cell]
O  0.000  0.500  0.000 [2 per cell]
O  0.000  0.500  0.500 [2 per cell]
O  0.500  0.500  0.284 [2 per cell]

***

4.
Entry from the Alexandria database: crystalline AcTmRh4 at its relaxed geometry (PBE).

Properties
Total moment = 0.00 μB per cell
DFT total energy = -6.9467 eV per atom
V = 453.98 Å³/cell

a b c (Å): 7.686 7.686 7.686
angles (deg): 90.00 90.00 90.00
Space group F-43m (No. 216)
Symmetry-distinct sites (fractional):
Ac  0.000  0.000  0.000 [4 per cell]
Tm  0.250  0.250  0.750 [4 per cell]
Rh  0.124  0.124  0.376 [16 per cell]

***

5.
Entry from the Alexandria database: crystalline BaPr4Zn5 at its relaxed geometry (PBE).

Properties
Total moment = 0.00 μB per cell
DFT total energy = -3.0032 eV per atom
V = 270.94 Å³/cell

a b c (Å): 3.768 3.768 19.080
angles (deg): 90.00 90.00 90.00
Space group P4/mmm (No. 123)
Symmetry-distinct sites (fractional):
Ba  0.000  0.000  0.000 [1 per cell]
Pr  0.000  0.000  0.213 [2 per cell]
Pr  0.000  0.000  0.404 [2 per cell]
Zn  0.500  0.500  0.122 [2 per cell]
Zn  0.500  0.500  0.308 [2 per cell]
Zn  0.500  0.500  0.500 [1 per cell]

***

6.
Entry from the Alexandria database: crystalline Ca3ZnCd3 at its relaxed geometry (PBE).

Properties
Total moment = 0.00 μB per cell
DFT total energy = -1.7288 eV per atom
V = 772.91 Å³/cell

a b c (Å): 11.774 4.081 16.760
angles (deg): 90.00 106.29 90.00
Space group C2/m (No. 12)
Symmetry-distinct sites (fractional):
Ca  0.003  0.000  0.383 [4 per cell]
Ca  0.118  0.000  0.923 [4 per cell]
Ca  0.239  0.000  0.233 [4 per cell]
Zn  0.211  0.500  0.373 [4 per cell]
Cd  0.016  0.500  0.230 [4 per cell]
Cd  0.104  0.500  0.078 [4 per cell]
Cd  0.159  0.500  0.533 [4 per cell]